1.
Density functional theory data (PBE) for crystalline K3BiAu3 at its relaxed geometry.

Cell: 4.639 12.258 15.933 Å, 90.00 90.00 90.00°
Space group Cmcm (No. 63)
Inequivalent atoms, fractional coordinates:
K1 0.000 0.003 0.250 x4
K2 0.000 0.288 0.601 x8
Bi1 0.000 0.000 0.000 x4
Au1 0.000 0.303 0.250 x4
Au2 0.000 0.420 0.098 x8

## Properties
ΔH_f (0 K) (eV/atom): -0.3251
ρ (g cm⁻³): 6.7

2.
Density functional theory data (PBE) for crystalline K2Bi3Au5 at its relaxed geometry.

Cell: 11.529 13.685 7.217 Å, 90.00 90.00 90.00°
Space group Ibam (No. 72)
Inequivalent atoms, fractional coordinates:
K1 0.233 0.128 0.000 x8
Bi1 0.000 0.500 0.250 x4
Bi2 0.112 0.135 0.500 x8
Au1 0.000 0.000 0.250 x4
Au2 0.000 0.272 0.250 x8
Au3 0.146 0.384 0.000 x8

## Properties
ΔH_f (0 K) (eV/atom): -0.1913
ρ (g cm⁻³): 9.9

3.
Density functional theory data (PBE) for crystalline K2BiAu2 at its relaxed geometry.

Cell: 4.647 4.647 14.235 Å, 90.00 90.00 90.00°
Space group I4/mmm (No. 139)
Inequivalent atoms, fractional coordinates:
K1 0.000 0.500 0.250 x4
Bi1 0.000 0.000 0.000 x2
Au1 0.000 0.000 0.406 x4

## Properties
ΔH_f (0 K) (eV/atom): 0.1297
ρ (g cm⁻³): 7.4

4.
Density functional theory data (PBE) for crystalline KBiAu at its relaxed geometry.

Cell: 3.909 7.299 7.490 Å, 90.00 105.04 90.00°
Space group Pm (No. 6)
Inequivalent atoms, fractional coordinates:
K1 0.000 0.000 0.000 x1
K2 0.158 0.500 0.315 x1
Bi1 0.252 0.000 0.502 x1
Bi2 0.419 0.500 0.837 x1
Au1 0.822 0.268 0.642 x2

## Properties
ΔH_f (0 K) (eV/atom): -0.2204
ρ (g cm⁻³): 7.2

5.
Density functional theory data (PBE) for crystalline KBiAu at its relaxed geometry.

Cell: 9.093 7.296 7.373 Å, 90.00 124.81 90.00°
Space group C2/m (No. 12)
Inequivalent atoms, fractional coordinates:
K1 0.213 0.000 0.002 x4
Bi1 0.184 0.500 0.437 x4
Au1 0.000 0.203 0.500 x4

## Properties
ΔH_f (0 K) (eV/atom): -0.2416
ρ (g cm⁻³): 7.4

6.
Density functional theory data (PBE) for crystalline KBiAu at its relaxed geometry.

Cell: 4.494 6.450 7.672 Å, 76.70 89.81 89.88°
Space group P-1 (No. 2)
Inequivalent atoms, fractional coordinates:
K1 0.001 0.335 0.276 x2
Bi1 0.499 0.812 0.209 x2
Au1 0.000 0.000 0.000 x1
Au2 0.500 0.000 0.500 x1

## Properties
ΔH_f (0 K) (eV/atom): -0.3255
ρ (g cm⁻³): 6.8

7.
Density functional theory data (PBE) for crystalline KBi3Au at its relaxed geometry.

Cell: 5.084 27.846 4.855 Å, 90.00 90.00 90.00°
Space group Cmmm (No. 65)
Inequivalent atoms, fractional coordinates:
K1 0.000 0.167 0.000 x4
Bi1 0.000 0.057 0.500 x4
Bi2 0.000 0.281 0.500 x4
Bi3 0.000 0.443 0.000 x4
Au1 0.000 0.381 0.500 x4

## Properties
ΔH_f (0 K) (eV/atom): -0.1170
ρ (g cm⁻³): 8.3

8.
Density functional theory data (PBE) for crystalline KBi3Au2 at its relaxed geometry.

Cell: 20.024 4.706 12.104 Å, 90.00 106.12 90.00°
Space group C2/m (No. 12)
Inequivalent atoms, fractional coordinates:
K1 0.000 0.000 0.000 x2
K2 0.153 0.000 0.696 x4
Bi1 0.000 0.500 0.500 x2
Bi2 0.040 0.000 0.332 x4
Bi3 0.126 0.500 0.193 x4
Bi4 0.172 0.500 0.952 x4
Bi5 0.214 0.000 0.383 x4
Au1 0.037 0.500 0.793 x4
Au2 0.144 0.500 0.465 x4
Au3 0.188 0.000 0.103 x4

## Properties
ΔH_f (0 K) (eV/atom): -0.1602
ρ (g cm⁻³): 9.6

- What is the ΔH_f (0 K) in the third record?
  0.1297 eV/atom